# 1
Material: Y2HgBr
Method: DFT, SCAN
State: PBEsol geometry

a b c (Å): 3.6799 4.7471 6.0203
angles (deg): 90.00 90.00 90.00
Closest atoms and distances in Å follow each position.
Element x y z (fractional)
Y 0.0000 0.0000 0.0000  4 Br 3.00
Y 0.5000 0.0000 0.5000  4 Hg 3.00
Hg 0.0000 0.5000 0.5000  4 Y 3.00
Br 0.5000 0.5000 0.0000  4 Y 3.00

## Properties
* offset from the most stable computed form: 385 meV per atom
* formation energy from raw total energies: -609 meV per atom
* calculated volume: 26.292 A^3/atom

***

# 2
Material: LaCe3B24
Method: DFT, SCAN
State: PBEsol geometry

a b c (Å): 4.1002 5.8005 11.5926
angles (deg): 90.00 90.00 90.00
Closest atoms and distances in Å follow each position.
Element x y z (fractional)
La 0.0000 0.0000 0.0000  24 B 3.01-3.02
Ce 0.0000 0.5000 0.2532  24 B 2.97-3.05
Ce 0.0000 0.0000 0.5000  24 B 3.00-3.01
Ce 0.0000 0.5000 0.7468  24 B 2.97-3.05
B 0.1983 0.5000 0.5000  5 B 1.63-1.75
B 0.1987 0.0000 0.7490  5 B 1.63-1.75
B 0.1991 0.5000 0.0000  5 B 1.63-1.75
B 0.1987 0.0000 0.2510  5 B 1.63-1.75
B 0.5000 0.6506 0.5753  5 B 1.62-1.75
B 0.5000 0.1511 0.8244  5 B 1.63-1.75
B 0.5000 0.6500 0.0758  5 B 1.63-1.76
B 0.5000 0.1507 0.3260  5 B 1.62-1.75
B 0.5000 0.3494 0.5753  5 B 1.62-1.75
B 0.5000 0.8489 0.8244  5 B 1.63-1.75
B 0.5000 0.3500 0.0758  5 B 1.63-1.76
B 0.5000 0.8493 0.3260  5 B 1.62-1.75
B 0.5000 0.3494 0.4247  5 B 1.62-1.75
B 0.5000 0.8493 0.6740  5 B 1.62-1.75
B 0.5000 0.3500 0.9242  5 B 1.63-1.76
B 0.5000 0.8489 0.1756  5 B 1.63-1.75
B 0.5000 0.6506 0.4247  5 B 1.62-1.75
B 0.5000 0.1507 0.6740  5 B 1.62-1.75
B 0.5000 0.6500 0.9242  5 B 1.63-1.76
B 0.5000 0.1511 0.1756  5 B 1.63-1.75
B 0.8017 0.5000 0.5000  5 B 1.63-1.75
B 0.8013 0.0000 0.7490  5 B 1.63-1.75
B 0.8009 0.5000 0.0000  5 B 1.63-1.75
B 0.8013 0.0000 0.2510  5 B 1.63-1.75

## Properties
* calculated volume: 9.847 A^3/atom
* energy relative to the elements: -0.5899 eV per atom

***

# 3
Material: TiRuS2Cl
Method: DFT, SCAN
State: PBEsol geometry

a b c (Å): 4.5278 4.5278 4.6135
angles (deg): 90.00 90.00 90.00
Closest atoms and distances in Å follow each position.
Element x y z (fractional)
Ru 0.0000 0.0000 0.0000  4 S 2.26, 2 Cl 2.31
S 0.0000 0.5000 0.0000  2 Ru 2.26
S 0.5000 0.0000 0.0000  2 Ru 2.26
Cl 0.0000 0.0000 0.5000  2 Ru 2.31
Ti 0.5000 0.5000 0.5000  4 Cl 3.20, 8 S 3.23

## Properties
* formation energy from raw total energies: 37 meV per atom
* calculated volume: 18.916 A^3/atom

***

# 4
Material: ZrZn13
Method: DFT, SCAN
State: PBEsol geometry

a b c (Å): 8.3416 8.3416 8.3416
angles (deg): 60.00 60.00 60.00
Closest atoms and distances in Å follow each position.
Element x y z (fractional)
Zn 0.4412 0.1987 0.8013  9 Zn 2.44-2.65
Zn 0.1987 0.4412 0.5588  9 Zn 2.44-2.65
Zn 0.8013 0.5588 0.4412  9 Zn 2.44-2.65
Zn 0.5588 0.8013 0.1987  9 Zn 2.44-2.65
Zn 0.5588 0.1987 0.4412  9 Zn 2.44-2.65
Zn 0.8013 0.4412 0.1987  9 Zn 2.44-2.65
Zn 0.1987 0.5588 0.8013  9 Zn 2.44-2.65
Zn 0.4412 0.8013 0.5588  9 Zn 2.44-2.65
Zn 0.8013 0.1987 0.5588  9 Zn 2.44-2.65
Zn 0.5588 0.4412 0.8013  9 Zn 2.44-2.65
Zn 0.4412 0.5588 0.1987  9 Zn 2.44-2.65
Zn 0.1987 0.8013 0.4412  9 Zn 2.44-2.65
Zn 0.3013 0.0588 0.6987  9 Zn 2.44-2.65
Zn 0.0588 0.3013 0.9412  9 Zn 2.44-2.65
Zn 0.9412 0.6987 0.0588  9 Zn 2.44-2.65
Zn 0.6987 0.9412 0.3013  9 Zn 2.44-2.65
Zn 0.3013 0.9412 0.0588  9 Zn 2.44-2.65
Zn 0.0588 0.6987 0.3013  9 Zn 2.44-2.65
Zn 0.9412 0.3013 0.6987  9 Zn 2.44-2.65
Zn 0.6987 0.0588 0.9412  9 Zn 2.44-2.65
Zn 0.3013 0.6987 0.9412  9 Zn 2.44-2.65
Zn 0.0588 0.9412 0.6987  9 Zn 2.44-2.65
Zn 0.9412 0.0588 0.3013  9 Zn 2.44-2.65
Zn 0.6987 0.3013 0.0588  9 Zn 2.44-2.65
Zn 0.5000 0.5000 0.5000  12 Zn 2.56
Zn 0.0000 0.0000 0.0000  12 Zn 2.56
Zr 0.7500 0.7500 0.7500  24 Zn 3.42
Zr 0.2500 0.2500 0.2500  24 Zn 3.42

## Properties
* calculated volume: 14.658 A^3/atom
* energy relative to the elements: -0.0648 eV per atom

***

# 5
Material: SrO
Method: DFT, SCAN
State: PBEsol geometry

a b c (Å): 3.6292 3.6292 3.6292
angles (deg): 60.00 60.00 60.00
Closest atoms and distances in Å follow each position.
Element x y z (fractional)
Sr 0.5000 0.5000 0.5000  6 O 2.57
O 0.0000 0.0000 0.0000  6 Sr 2.57

## Properties
* formation energy from raw total energies: -3006 meV per atom
* calculated volume: 16.900 A^3/atom

***

# 6
Material: ErMnNi4
Method: DFT, SCAN
State: PBEsol geometry

a b c (Å): 4.7948 4.7948 4.7948
angles (deg): 60.00 60.00 60.00
Closest atoms and distances in Å follow each position.
Element x y z (fractional)
Er 0.0000 0.0000 0.0000  12 Ni 2.81, 4 Mn 2.94
Mn 0.7500 0.7500 0.7500  12 Ni 2.81, 4 Er 2.94
Ni 0.8727 0.3758 0.3758  6 Ni 2.38-2.41
Ni 0.3758 0.3758 0.3758  6 Ni 2.38-2.41
Ni 0.3758 0.8727 0.3758  6 Ni 2.38-2.41
Ni 0.3758 0.3758 0.8727  6 Ni 2.38-2.41

## Properties
* calculated volume: 12.991 A^3/atom
* energy relative to the elements: -0.4199 eV per atom

***

# 7
Material: AsWCl
Method: DFT, SCAN
State: PBEsol geometry

a b c (Å): 2.8809 4.2407 4.7518
angles (deg): 116.50 107.65 90.00
Closest atoms and distances in Å follow each position.
Element x y z (fractional)
As 0.9927 0.9927 0.9855  5 Cl 2.73-2.86, 5 W 2.79-2.90, 2 As 2.88
W 0.3554 0.3554 0.7108  1 Cl 2.37
Cl 0.6519 0.6519 0.3037  1 W 2.37

## Properties
* offset from the most stable computed form: 624 meV per atom
* formation energy from raw total energies: 787 meV per atom
* calculated volume: 16.294 A^3/atom

***

# 8
Material: TcIr2Pt
Method: DFT, SCAN
State: PBEsol geometry

a b c (Å): 2.7117 2.7117 9.0793
angles (deg): 81.41 81.41 60.00
Closest atoms and distances in Å follow each position.
Element x y z (fractional)
Ir 0.2535 0.2535 0.2394  3 Tc 2.65, 6 Ir 2.71, 3 Pt 2.81
Ir 0.7465 0.7465 0.7606  3 Tc 2.65, 6 Ir 2.71, 3 Pt 2.81
Tc 0.0000 0.0000 0.0000  6 Ir 2.65, 6 Tc 2.71
Pt 0.5000 0.5000 0.5000  6 Pt 2.71, 6 Ir 2.81

## Properties
* offset from the most stable computed form: 28 meV per atom
* calculated volume: 14.238 A^3/atom
* energy relative to the elements: -0.1287 eV per atom

***

# 9
Material: MnAg2SnTe4
Method: DFT, SCAN
State: PBEsol geometry

a b c (Å): 6.2654 6.2654 7.7457
angles (deg): 113.86 113.86 90.00
Closest atoms and distances in Å follow each position.
Element x y z (fractional)
Mn 0.0000 0.0000 0.0000  4 Te 2.64
Ag 0.7500 0.2500 0.5000  4 Te 2.72
Ag 0.2500 0.7500 0.5000  4 Te 2.72
Sn 0.5000 0.5000 0.0000  4 Te 2.83
Te 0.1107 0.6371 0.7478  1 Mn 2.64, 2 Ag 2.72, 1 Sn 2.83
Te 0.6371 0.1107 0.7478  1 Mn 2.64, 2 Ag 2.72, 1 Sn 2.83
Te 0.3629 0.3629 0.2522  1 Mn 2.64, 2 Ag 2.72, 1 Sn 2.83
Te 0.8893 0.8893 0.2522  1 Mn 2.64, 2 Ag 2.72, 1 Sn 2.83

## Properties
* formation energy from raw total energies: -222 meV per atom
* calculated volume: 31.177 A^3/atom

***

# 10
Material: Y3Tm
Method: DFT, SCAN
State: PBEsol geometry

a b c (Å): 5.5367 7.1255 7.1255
angles (deg): 120.00 90.00 90.00
Closest atoms and distances in Å follow each position.
Element x y z (fractional)
Y 0.2500 0.6650 0.8325  4 Tm 3.44-3.56, 8 Y 3.46-3.58
Y 0.2500 0.1675 0.3350  4 Tm 3.44-3.56, 8 Y 3.46-3.58
Y 0.2500 0.1675 0.8325  4 Tm 3.44-3.56, 8 Y 3.46-3.58
Y 0.7500 0.3350 0.1675  4 Tm 3.44-3.56, 8 Y 3.46-3.58
Y 0.7500 0.8325 0.6650  4 Tm 3.44-3.56, 8 Y 3.46-3.58
Y 0.7500 0.8325 0.1675  4 Tm 3.44-3.56, 8 Y 3.46-3.58
Tm 0.7500 0.3333 0.6667  12 Y 3.44-3.56
Tm 0.2500 0.6667 0.3333  12 Y 3.44-3.56

## Properties
* calculated volume: 30.432 A^3/atom
* energy relative to the elements: 0.0076 eV per atom

***

# 11
Material: AgBi2I
Method: DFT, SCAN
State: PBEsol geometry

a b c (Å): 5.3678 5.3678 5.3678
angles (deg): 60.00 60.00 60.00
Closest atoms and distances in Å follow each position.
Element x y z (fractional)
I 0.5000 0.5000 0.5000  8 Bi 3.29
Bi 0.2500 0.2500 0.2500  4 I 3.29, 4 Ag 3.29
Bi 0.7500 0.7500 0.7500  4 I 3.29, 4 Ag 3.29
Ag 0.0000 0.0000 0.0000  8 Bi 3.29

## Properties
* offset from the most stable computed form: 282 meV per atom
* formation energy from raw total energies: 494 meV per atom
* calculated volume: 27.341 A^3/atom

***

# 12
Material: TcPtBrN2
Method: DFT, SCAN
State: PBEsol geometry

a b c (Å): 3.7038 3.7038 7.0536
angles (deg): 90.00 90.00 90.00
Closest atoms and distances in Å follow each position.
Element x y z (fractional)
Br 0.0000 0.0000 0.5000  4 Tc 2.62
Tc 0.5000 0.5000 0.5000  4 Br 2.62
Pt 0.0000 0.0000 0.0000  4 N 1.85
N 0.0000 0.5000 0.0000  2 Pt 1.85
N 0.5000 0.0000 0.0000  2 Pt 1.85

## Properties
* formation energy from raw total energies: 1491 meV per atom
* calculated volume: 19.352 A^3/atom

***

# 13
Material: AsOs3
Method: DFT, SCAN
State: PBEsol geometry

a b c (Å): 2.7874 4.5825 4.5825
angles (deg): 102.42 90.00 90.00
Closest atoms and distances in Å follow each position.
Element x y z (fractional)
As 0.0000 0.0000 0.0000  10 Os 2.68-2.87, 2 As 2.79
Os 0.5000 0.0000 0.5000  8 Os 2.68-2.87, 4 As 2.68
Os 0.5000 0.5000 0.0000  4 As 2.68, 8 Os 2.68-2.87
Os 0.0000 0.5000 0.5000  10 Os 2.68-2.79, 2 As 2.87

## Properties
* offset from the most stable computed form: 372 meV per atom
* calculated volume: 14.291 A^3/atom
* energy relative to the elements: 0.5981 eV per atom

***

# 14
Material: ZrHgMo2
Method: DFT, SCAN
State: PBEsol geometry

a b c (Å): 2.7713 2.7713 9.2657
angles (deg): 90.00 90.00 90.00
Closest atoms and distances in Å follow each position.
Element x y z (fractional)
Hg 0.5000 0.5000 0.5000  4 Hg 2.77, 8 Mo 2.98
Mo 0.0000 0.0000 0.7423  4 Mo 2.77, 4 Hg 2.98, 4 Zr 3.09
Mo 0.0000 0.0000 0.2577  4 Mo 2.77, 4 Hg 2.98, 4 Zr 3.09
Zr 0.5000 0.5000 0.0000  4 Zr 2.77, 8 Mo 3.09

## Properties
* calculated volume: 17.791 A^3/atom
* energy relative to the elements: 0.4305 eV per atom

***

# 15
Material: Ta2Co2Rh
Method: DFT, SCAN
State: PBEsol geometry

a b c (Å): 2.9870 6.7523 6.7523
angles (deg): 90.00 90.00 90.00
Closest atoms and distances in Å follow each position.
Element x y z (fractional)
Co 0.0000 0.3730 0.8730  6 Ta 2.42-2.54, 1 Co 2.43, 2 Rh 2.66
Co 0.0000 0.8730 0.6270  6 Ta 2.42-2.54, 1 Co 2.43, 2 Rh 2.66
Co 0.0000 0.6270 0.1270  6 Ta 2.42-2.54, 1 Co 2.43, 2 Rh 2.66
Co 0.0000 0.1270 0.3730  6 Ta 2.42-2.54, 1 Co 2.43, 2 Rh 2.66
Rh 0.0000 0.0000 0.0000  4 Co 2.66, 8 Ta 2.91
Rh 0.0000 0.5000 0.5000  4 Co 2.66, 8 Ta 2.91
Ta 0.5000 0.1739 0.6739  6 Co 2.42-2.54
Ta 0.5000 0.6739 0.8261  6 Co 2.42-2.54
Ta 0.5000 0.8261 0.3261  6 Co 2.42-2.54
Ta 0.5000 0.3261 0.1739  6 Co 2.42-2.54

## Properties
* calculated volume: 13.619 A^3/atom
* energy relative to the elements: -0.2790 eV per atom

***

# 16
Material: MgZn2W
Method: DFT, SCAN
State: PBEsol geometry

a b c (Å): 3.7028 3.9998 3.9998
angles (deg): 90.00 90.00 90.00
Closest atoms and distances in Å follow each position.
Element x y z (fractional)
Mg 0.5000 0.5000 0.5000  8 Zn 2.73, 4 W 2.83
W 0.5000 0.0000 0.0000  8 Zn 2.73, 4 Mg 2.83
Zn 0.0000 0.0000 0.5000  4 Mg 2.73, 4 W 2.73, 4 Zn 2.83
Zn 0.0000 0.5000 0.0000  4 Mg 2.73, 4 W 2.73, 4 Zn 2.83

## Properties
* calculated volume: 14.810 A^3/atom
* energy relative to the elements: 0.1900 eV per atom

***

# 17
Material: TaInSi
Method: DFT, SCAN
State: PBEsol geometry

a b c (Å): 3.2273 3.4801 5.4121
angles (deg): 108.75 107.35 90.00
Closest atoms and distances in Å follow each position.
Element x y z (fractional)
In 0.0020 0.0020 0.0040  5 Si 2.89-3.09, 5 Ta 2.95-3.05, 2 In 3.23
Si 0.2994 0.2994 0.5987  4 Ta 2.57
Ta 0.6986 0.6986 0.3973  4 Si 2.57

## Properties
* formation energy from raw total energies: 108 meV per atom
* calculated volume: 18.210 A^3/atom

***

# 18
Material: TiSi3Ag
Method: DFT, SCAN
State: PBEsol geometry

a b c (Å): 4.7104 4.7104 4.7104
angles (deg): 90.00 90.00 90.00
Closest atoms and distances in Å follow each position.
Element x y z (fractional)
Si 0.0000 0.5000 0.0000  2 Ag 2.36
Si 0.0000 0.0000 0.5000  2 Ag 2.36
Si 0.5000 0.0000 0.0000  2 Ag 2.36
Ag 0.0000 0.0000 0.0000  6 Si 2.36
Ti 0.5000 0.5000 0.5000  12 Si 3.33

## Properties
* formation energy from raw total energies: 1290 meV per atom
* calculated volume: 20.903 A^3/atom

***

# 19
Material: K2SbAsOs
Method: DFT, SCAN
State: PBEsol geometry

a b c (Å): 4.8848 6.4672 6.4672
angles (deg): 90.00 90.00 90.00
Closest atoms and distances in Å follow each position.
Element x y z (fractional)
Sb 0.0000 0.0000 0.0000  2 Os 2.44
As 0.5000 0.5000 0.5000  8 K 4.05
Os 0.5000 0.0000 0.0000  2 Sb 2.44
K 0.0000 0.0000 0.5000  2 Sb 3.23
K 0.0000 0.5000 0.0000  2 Sb 3.23

## Properties
* formation energy from raw total energies: 924 meV per atom
* calculated volume: 40.862 A^3/atom

***

# 20
Material: LiNi2Hg
Method: DFT, SCAN
State: PBEsol geometry

a b c (Å): 3.6397 3.6397 3.8518
angles (deg): 90.00 90.00 90.00
Closest atoms and distances in Å follow each position.
Element x y z (fractional)
Hg 0.5000 0.5000 0.5000  4 Li 2.57, 8 Ni 2.65
Li 0.0000 0.0000 0.5000  4 Hg 2.57, 8 Ni 2.65
Ni 0.0000 0.5000 0.0000  4 Ni 2.57, 4 Hg 2.65, 4 Li 2.65
Ni 0.5000 0.0000 0.0000  4 Ni 2.57, 4 Hg 2.65, 4 Li 2.65

## Properties
* calculated volume: 12.756 A^3/atom
* energy relative to the elements: 0.0441 eV per atom

***

| no. | N(E_F) (states/eV/f.u.) | total energy (eV for the cell shown) | M_tot (μB/atom) |
| --- | --- | --- | --- |
| 1 | 4.21 | -145.747 | 0.042 |
| 2 | 7.97 | -371.622 | 0.110 |
| 3 | 3.12 | -77.905 | 0.106 |
| 4 | 3.33 | -414.607 | 0.000 |
| 5 | 0.00 | -34.518 | 0.000 |
| 6 | 4.38 | -135.808 | 0.945 |
| 7 | 1.67 | -95.495 | 0.000 |
| 8 | 3.52 | -247.966 | 0.000 |
| 9 | 1.53 | -267.694 | 0.594 |
| 10 | 6.36 | -270.661 | 0.402 |
| 11 | 2.37 | -223.293 | 0.000 |
| 12 | 2.86 | -135.842 | 0.781 |
| 13 | 3.07 | -233.438 | 0.000 |
| 14 | 3.19 | -166.913 | 0.000 |
| 15 | 4.61 | -405.883 | 0.000 |
| 16 | 0.54 | -100.932 | 0.000 |
| 17 | 0.97 | -109.663 | 0.000 |
| 18 | 4.75 | -70.994 | 0.419 |
| 19 | 2.13 | -141.370 | 0.717 |
| 20 | 3.23 | -102.726 | 0.000 |